{
  "formula": "PuHfZr",
  "functional": "PBE-GGA",
  "state": "optimized geometry",
  "volume_a3_per_cell": 132.43,
  "formation_enthalpy_0k_mev_per_atom": 154,
  "polymorph_energy_ev_per_atom": 0.086,
  "magnetic_moment_mub_per_cell": 0.0,
  "lattice_angstrom": [[3.298, 0.003, 0.001], [1.659, 7.759, 1.294], [-0.003, -0.023, 5.172]],
  "species": ["Pu", "Pu", "Hf", "Hf", "Zr", "Zr"],
  "frac_coords": [[0.763, 0.480, 0.662], [0.241, 0.524, 0.342], [0.438, 0.129, 0.718], [0.566, 0.875, 0.287], [0.111, 0.785, 0.812], [0.893, 0.218, 0.193]]
}